5
Lattice="5.4144 0.0000 0.0000 0.0000 5.4144 0.0000 0.0000 0.0000 5.3825" Properties=species:S:1:pos:R:3 comment="NaCaS2Cl PBE-GGA relaxed" m_tot_mub_per_cell=2.01 dft_energy_ev_per_atom=-3.523 formation_energy_uncorrected_mev_per_atom=-839 crystal_system=tetragonal space_group="No. 123" pbc="T T T"
Na 0.0000 0.0000 0.0000
Ca 2.7072 2.7072 2.6913
S 0.0000 2.7072 2.6913
S 2.7072 0.0000 2.6913
Cl 2.7072 2.7072 0.0000

4
Lattice="2.0443 1.1803 6.6841 -2.0443 1.1803 6.6841 0.0000 -2.3605 6.6841" Properties=species:S:1:pos:R:3 comment="NaCaSCl PBE-GGA relaxed" m_tot_mub_per_cell=0.00 dft_energy_ev_per_atom=-4.212 formation_energy_uncorrected_mev_per_atom=-1888 crystal_system=trigonal space_group="No. 160" pbc="T T T"
Na 0.0000 0.0000 0.0000
Ca 0.0000 0.0000 10.4137
S 0.0000 0.0000 5.1125
Cl 0.0000 0.0000 15.3233